A geometry-optimized Te2CCl structure, computed with PBE.

Output
The value obtained for the excess energy over the best structure of this formula in the dataset is 0 meV/atom. The uncorrected formation energy is 0.74 eV per atom.

a b c (Å): 8.9171 8.9171 8.9171
angles (deg): 25.48 25.48 25.48
Last column: nearest neighbours and their distance in Å.
Element x y z (fractional)
Te  0.0749  0.0749  0.0749  1 C 1.94
Te  0.9251  0.9251  0.9251  1 C 1.94
C  0.0000  0.0000  0.0000  2 Te 1.94
Cl  0.5000  0.5000  0.5000  6 Te 3.28